Entry 1:
DFT (PBE) results for a relaxed structure of Tb4PrAl5.

Cell lengths 3.641, 3.641, 18.245 Å; angles 90.00, 90.00, 90.00 degrees
Space group P4/mmm (No. 123)
Unique sites:
Tb (0.000, 0.000, 0.098)
Tb (0.000, 0.000, 0.295)
Pr (0.000, 0.000, 0.500)
Al (0.500, 0.500, 0.000)
Al (0.500, 0.500, 0.196)
Al (0.500, 0.500, 0.391)

Properties
- ΔE_f: -3.84 eV per formula unit

=====

Entry 2:
DFT (PBE) results for a relaxed structure of IrOsPb.

Cell lengths 3.0042, 3.0042, 6.8835 Å; angles 90.00, 90.00, 120.00 degrees
Space group P3m1 (No. 156)
Unique sites:
Ir (0.0000, 0.0000, 0.0000)
Os (0.6667, 0.3333, 0.2860)
Pb (0.3333, 0.6667, 0.6421)

Properties
- ΔE_f: 2.42 eV per formula unit
- Polymorph energy (0 for the lowest one): 117.0 meV per atom

=====

Entry 3:
DFT (PBE) results for a relaxed structure of Y2PuP3Rh12.

Cell lengths 8.9165, 8.9165, 12.9469 Å; angles 90.00, 90.00, 120.00 degrees
Space group R-3m (No. 166, hexagonal axes)
Unique sites:
Y (0.0000, 0.0000, 0.1247)
Pu (0.0000, 0.0000, 0.5000)
P (0.0000, 0.5000, 0.0000)
Rh (0.0091, 0.5045, 0.8269)
Rh (0.0295, 0.5148, 0.3816)

Properties
- ΔE_f: -6.48 eV per formula unit

=====

Entry 4:
DFT (PBE) results for a relaxed structure of Cs3Ce3ScS8.

Cell lengths 8.2358, 8.2358, 24.5186 Å; angles 90.00, 90.00, 120.00 degrees
Space group R-3m (No. 166, hexagonal axes)
Unique sites:
Cs (0.0000, 0.5000, 0.0000)
Ce (0.0000, 0.5000, 0.5000)
Sc (0.0000, 0.0000, 0.5000)
S (0.0000, 0.0000, 0.2282)
S (0.0167, 0.5083, 0.2243)

Properties
- ΔE_f (raw): -1.781 eV per atom

=====

Entry 5:
DFT (PBE) results for a relaxed structure of SrGd2Ru.

Cell lengths 3.502, 3.502, 10.004 Å; angles 90.00, 90.00, 90.00 degrees
Space group P4/mmm (No. 123)
Unique sites:
Sr (0.000, 0.000, 0.000)
Gd (0.500, 0.500, 0.336)
Ru (0.000, 0.000, 0.500)

Properties
- ΔE_f: -0.55 eV per formula unit
- Polymorph energy (0 for the lowest one): 0.0 meV per atom

=====

Entry 6:
DFT (PBE) results for a relaxed structure of AgHgI2.

Cell lengths 15.757, 4.663, 10.949 Å; angles 90.00, 128.35, 90.00 degrees
Space group Cm (No. 8)
Unique sites:
Ag (0.000, 0.000, 0.000)
Ag (0.073, 0.500, 0.905)
Hg (0.089, 0.500, 0.650)
Hg (0.246, 0.000, 0.472)
I (0.022, 0.000, 0.278)
I (0.199, 0.000, 0.041)
I (0.350, 0.500, 0.463)
I (0.357, 0.000, 0.817)

Properties
- ΔE_f (raw): -0.201 eV per atom
- Polymorph energy (0 for the lowest one): 35.4 meV per atom

=====

Entry 7:
DFT (PBE) results for a relaxed structure of PmSc3Co.

Cell lengths 4.957, 4.957, 4.957 Å; angles 90.00, 90.00, 90.00 degrees
Space group Pm-3m (No. 221)
Unique sites:
Pm (0.000, 0.000, 0.000)
Sc (0.000, 0.500, 0.500)
Co (0.500, 0.500, 0.500)

Properties
- ΔE_f: -0.53 eV per formula unit
- Polymorph energy (0 for the lowest one): 21.0 meV per atom

=====

Entry 8:
DFT (PBE) results for a relaxed structure of BaBe3Te.

Cell lengths 5.492, 5.492, 5.492 Å; angles 90.00, 90.00, 90.00 degrees
Space group Pm-3m (No. 221)
Unique sites:
Ba (0.000, 0.000, 0.000)
Be (0.000, 0.000, 0.500)
Te (0.500, 0.500, 0.500)

Properties
- ΔE_f (raw): 1.955 eV per atom
- Polymorph energy (0 for the lowest one): 1045.9 meV per atom

=====

Entry 9:
DFT (PBE) results for a relaxed structure of Mg2NiSn.

Cell lengths 4.094, 4.094, 19.283 Å; angles 90.00, 90.00, 90.00 degrees
Space group I-42d (No. 122)
Unique sites:
Mg (0.230, 0.250, 0.125)
Ni (0.000, 0.000, 0.000)
Sn (0.000, 0.000, 0.500)

Properties
- ΔE_f: 0.67 eV per formula unit

=====

Entry 10:
DFT (PBE) results for a relaxed structure of BaSCl2.

Cell lengths 5.6362, 5.6362, 11.5409 Å; angles 90.00, 90.00, 120.00 degrees
Space group R-3m (No. 166, hexagonal axes)
Unique sites:
Ba (0.0000, 0.0000, 0.0000)
S (0.0000, 0.0000, 0.5000)
Cl (0.0000, 0.0000, 0.2938)

Properties
- ΔE_f (raw): -1.401 eV per atom
- Polymorph energy (0 for the lowest one): 0.0 meV per atom

=====

Entry 11:
DFT (PBE) results for a relaxed structure of InReAg2.

Cell lengths 9.735, 2.820, 5.278 Å; angles 90.00, 100.29, 90.00 degrees
Space group Cm (No. 8)
Unique sites:
In (0.000, 0.000, 0.000)
Re (0.250, 0.000, 0.798)
Ag (0.005, 0.500, 0.515)
Ag (0.253, 0.500, 0.304)

Properties
- ΔE_f: 2.13 eV per formula unit

=====

Entry 12:
DFT (PBE) results for a relaxed structure of LiFe2As.

Cell lengths 3.098, 3.098, 5.300 Å; angles 90.00, 90.00, 90.00 degrees
Space group P4mm (No. 99)
Unique sites:
Li (0.000, 0.000, 0.000)
Fe (0.000, 0.000, 0.508)
Fe (0.500, 0.500, 0.739)
As (0.500, 0.500, 0.263)

Properties
- ΔE_f: -0.09 eV per formula unit